{
  "formula": "Sm2Cd16Ga",
  "functional": "PBE",
  "state": "relaxed",
  "lattice": [[7.589, 0.049, 0.910], [0.813, 7.546, 0.910], [0.054, 0.049, 7.643]],
  "species": ["Cd", "Cd", "Cd", "Cd", "Cd", "Cd", "Cd", "Cd", "Cd", "Cd", "Cd", "Cd", "Cd", "Cd", "Cd", "Cd", "Sm", "Sm", "Ga"],
  "fractional_positions": [[0.377, 0.778, 0.377], [0.312, 0.692, 0.000], [0.124, 0.667, 0.667], [0.461, 0.030, 0.030], [0.000, 0.692, 0.312], [0.667, 0.667, 0.124], [0.692, 0.312, 0.000], [0.692, 0.000, 0.312], [0.000, 0.312, 0.692], [0.030, 0.030, 0.461], [0.377, 0.377, 0.778], [0.030, 0.461, 0.030], [0.076, 0.076, 0.076], [0.778, 0.377, 0.377], [0.312, 0.000, 0.692], [0.667, 0.124, 0.667], [0.332, 0.332, 0.332], [0.680, 0.680, 0.680], [0.891, 0.891, 0.891]],
  "formation_enthalpy_0k_ev_per_atom": -0.1335
}